[1]
Y2Ga3PdPt4: relaxed, PBE.

Unit cell a=4.0156 b=4.0156 c=11.6245 alpha=90.00 beta=90.00 gamma=90.00
Positions (direct):
Pt1 0.0000 0.5000 0.3421
Pt2 0.5000 0.5000 0.0000
Pt3 0.5000 0.0000 0.6579
Pt4 0.0000 0.0000 0.0000
Ga1 0.0000 0.0000 0.5000
Ga2 0.5000 0.0000 0.8684
Ga3 0.0000 0.5000 0.1316
Pd1 0.5000 0.5000 0.5000
Y1 0.5000 0.0000 0.2566
Y2 0.0000 0.5000 0.7434

The symmetry is P-4m2 (115). The calculated volume comes out at 18.7 Å³ per atom. The formation energy from the elements comes out at -0.921 eV/atom. The total magnetization is 0.00 Bohr magnetons per cell.

=====

[2]
Hg2PtBr: relaxed, PBE.

Unit cell a=3.4036 b=3.4036 c=8.6735 alpha=90.00 beta=90.00 gamma=90.00
Positions (direct):
Hg1 0.0000 0.0000 0.0078
Hg2 0.5000 0.5000 0.3211
Br1 0.5000 0.5000 0.6896
Pt1 0.0000 0.0000 0.4814

The calculation puts the raw total energy at -0.066 hartree per atom. The symmetry is P4mm (99). The calculated volume comes out at 25.1 Å³ per atom. The total magnetization is 0.00 Bohr magnetons per cell.

=====

[3]
Y2Sc3Pb4: relaxed, PBE.

Unit cell a=7.8687 b=8.0996 c=8.0565 alpha=90.00 beta=90.00 gamma=111.53
Positions (direct):
Sc1 0.2608 0.7535 0.1546
Sc2 0.2392 0.2465 0.6546
Sc3 0.7392 0.2465 0.8454
Sc4 0.7608 0.7535 0.3454
Sc5 0.5000 0.5000 0.0000
Sc6 0.0000 0.5000 0.5000
Pb1 0.1430 0.5038 0.8568
Pb2 0.3324 0.0885 0.9555
Pb3 0.6430 0.5038 0.6432
Pb4 0.3570 0.4962 0.3568
Pb5 0.6676 0.9115 0.0445
Pb6 0.1676 0.9115 0.4555
Pb7 0.8324 0.0885 0.5445
Pb8 0.8570 0.4962 0.1432
Y1 0.0521 0.1919 0.1795
Y2 0.4479 0.8081 0.6795
Y3 0.9479 0.8081 0.8205
Y4 0.5521 0.1919 0.3205

The symmetry is P2_1/c (14). The calculated volume comes out at 26.5 Å³ per atom. The formation energy from the elements comes out at -0.534 eV/atom. The total magnetization is 0.00 Bohr magnetons per cell.

=====

[4]
Pr2DyPuAs4: relaxed, PBE.

Unit cell a=4.2243 b=7.2932 c=7.2995 alpha=109.46 beta=90.00 gamma=90.00
Each line ends with the local moment (μB).
Positions (direct):
As1 0.0000 0.2532 0.7625  -0.04
As2 0.5000 0.7555 0.7635  -0.07
As3 0.0000 0.7468 0.2375  -0.04
As4 0.5000 0.2445 0.2365  -0.07
Pr1 0.0000 0.5000 0.5000  0.01
Pr2 0.5000 0.0000 0.5000  0.02
Pu1 0.0000 0.0000 0.0000  5.01
Dy1 0.5000 0.5000 0.0000  0.00

The symmetry is P2/m (10). The calculated volume comes out at 26.5 Å³ per atom. The formation energy from the elements comes out at -1.374 eV/atom. The total magnetization is 4.93 Bohr magnetons per cell.

=====

[5]
Ca2ReP: relaxed, PBE.

Unit cell a=5.2686 b=5.2686 c=5.2686 alpha=132.39 beta=132.34 gamma=69.66
Each line ends with the local moment (μB).
Positions (direct):
Re1 0.2500 0.7500 0.5000  0.86
Ca1 0.0001 0.0001 0.0000  -0.01
Ca2 0.4999 0.4999 0.0000  -0.01
P1 0.7500 0.2500 0.5000  0.00

The symmetry is I4/mmm (139). The calculated volume comes out at 19.6 Å³ per atom. The formation energy from the elements comes out at 0.395 eV/atom. The total magnetization is 0.99 Bohr magnetons per cell.

=====

[6]
CaZn2RhC: relaxed, PBE.

Unit cell a=4.8906 b=3.9169 c=4.8906 alpha=90.00 beta=90.00 gamma=90.00
Positions (direct):
Zn1 0.5000 0.0000 0.0000
Zn2 0.0000 0.0000 0.5000
Ca1 0.5000 0.5000 0.5000
C1 0.0000 0.5000 0.0000
Rh1 0.0000 0.0000 0.0000

The symmetry is P4/mmm (123). The calculated volume comes out at 18.7 Å³ per atom. The formation energy from the elements comes out at 0.296 eV/atom. The total magnetization is 0.00 Bohr magnetons per cell.

=====

[7]
NaCaMn2Cl8: relaxed, PBE.

Unit cell a=6.8316 b=6.8316 c=8.8930 alpha=90.00 beta=90.00 gamma=120.00
Each line ends with the local moment (μB).
Positions (direct):
Ca1 0.0000 0.0000 0.5000  0.02
Cl1 0.0219 0.3217 0.6955  0.04
Cl2 0.3333 0.6667 0.0049  0.03
Cl3 0.7002 0.0219 0.3045  0.04
Cl4 0.2998 0.9781 0.6955  0.04
Cl5 0.9781 0.6783 0.3045  0.04
Cl6 0.3217 0.2998 0.3045  0.04
Cl7 0.6783 0.7002 0.6955  0.04
Cl8 0.6667 0.3333 0.9951  0.03
Mn1 0.6667 0.3333 0.2422  3.95
Mn2 0.3333 0.6667 0.7578  3.95
Na1 0.0000 0.0000 0.0000  0.00

The calculation puts the raw total energy at -0.162 hartree per atom. The symmetry is P-3 (147). The calculated volume comes out at 30.0 Å³ per atom. The total magnetization is 9.00 Bohr magnetons per cell.

=====

[8]
Tb3ErTl2: relaxed, PBE.

Unit cell a=6.5449 b=6.5407 c=9.5205 alpha=110.09 beta=110.10 gamma=90.00
Each line ends with the local moment (μB).
Positions (direct):
Er1 0.0000 0.2500 0.0000  0.25
Er2 0.0000 0.7500 0.0000  0.25
Tb1 0.5000 0.2500 0.0000  0.23
Tb2 0.5749 0.3235 0.6470  0.12
Tb3 0.4251 0.6765 0.3530  0.12
Tb4 0.9279 0.1765 0.3530  0.12
Tb5 0.0721 0.8235 0.6470  0.12
Tb6 0.5000 0.7500 0.0000  0.23
Tl1 0.3846 0.1363 0.2726  0.01
Tl2 0.1121 0.3637 0.7274  0.01
Tl3 0.8879 0.6363 0.2726  0.01
Tl4 0.6154 0.8637 0.7274  0.01

The symmetry is Ibam (72). The calculated volume comes out at 29.7 Å³ per atom. The formation energy from the elements comes out at -0.214 eV/atom. The total magnetization is 2.16 Bohr magnetons per cell.

=====

[9]
Cs2RbAlIn: relaxed, PBE.

Unit cell a=7.5326 b=6.2095 c=7.5326 alpha=90.00 beta=90.00 gamma=90.00
Each line ends with the local moment (μB).
Positions (direct):
Rb1 0.0000 0.0000 0.0000  0.02
Cs1 0.0000 0.0000 0.5000  0.01
Cs2 0.5000 0.0000 0.0000  0.01
In1 0.5000 0.5000 0.5000  -0.01
Al1 0.0000 0.5000 0.0000  0.07

The symmetry is P4/mmm (123). The calculated volume comes out at 70.5 Å³ per atom. The formation energy from the elements comes out at 0.735 eV/atom. The total magnetization is 0.76 Bohr magnetons per cell.

=====

[10]
LiCa2Br: relaxed, PBE.

Unit cell a=3.7676 b=3.7676 c=9.5185 alpha=90.00 beta=90.00 gamma=110.89
Positions (direct):
Br1 0.5000 0.5000 0.7500
Li1 0.5000 0.5000 0.2500
Ca1 0.0000 0.0000 0.5077
Ca2 0.0000 0.0000 0.9923

The calculation puts the raw total energy at -0.091 hartree per atom. The symmetry is Cmmm (65). The calculated volume comes out at 31.6 Å³ per atom. The total magnetization is 0.00 Bohr magnetons per cell.

=====

[11]
SrZnPCl: relaxed, PBE.

Unit cell a=4.1927 b=4.1927 c=13.8397 alpha=81.29 beta=81.29 gamma=60.00
Positions (direct):
P1 0.1276 0.1276 0.6173
P2 0.8724 0.8724 0.3827
Cl1 0.7091 0.7091 0.8728
Cl2 0.2909 0.2909 0.1272
Zn1 0.1890 0.1890 0.4329
Zn2 0.8110 0.8110 0.5671
Sr1 0.5866 0.5866 0.2402
Sr2 0.4134 0.4134 0.7598

The calculation puts the raw total energy at -0.142 hartree per atom. The symmetry is R-3m (166). The calculated volume comes out at 25.9 Å³ per atom. The total magnetization is 0.00 Bohr magnetons per cell.

=====

[12]
NaPt2Cl: relaxed, PBE.

Unit cell a=5.3389 b=5.3389 c=8.5277 alpha=71.76 beta=71.76 gamma=90.00
Positions (direct):
Pt1 0.3750 0.1262 0.7500
Pt2 0.8750 0.1238 0.7500
Pt3 0.8762 0.6250 0.2500
Pt4 0.8738 0.1250 0.2500
Na1 0.2500 0.7500 0.5000
Na2 0.5000 0.5000 0.0000
Cl1 0.7500 0.2500 0.5000
Cl2 0.0000 0.0000 0.0000

The calculation puts the raw total energy at -0.131 hartree per atom. The symmetry is I-42d (122). The calculated volume comes out at 27.2 Å³ per atom. The total magnetization is 0.00 Bohr magnetons per cell.